# 1
Density functional theory data (PBE) for a geometry-optimized CeSc2Ir structure.

Lattice parameters (Å, degrees): 4.3578 4.3578 6.5696 70.63 70.63 60.00
With the nearest neighbours (Å) after each atom.
Fractional positions:
Sc 0.2856 0.2856 0.1432  3 Ir 2.66
Sc 0.7144 0.7144 0.8568  3 Ir 2.66
Ir 0.0000 0.0000 0.0000  6 Sc 2.66
Ce 0.5000 0.5000 0.5000  6 Sc 3.32

Calculated values
Fermi-level density of states ... 7.8 states/eV/cell
Crystal system ... trigonal
Space group ... R-3m, No. 166
Polymorph energy (0 for the lowest one) ... 0.295 eV/atom


# 2
Density functional theory data (PBE) for a geometry-optimized Pr2SmNpSb4 structure.

Lattice parameters (Å, degrees): 4.4953 7.7881 7.7887 109.34 90.00 90.00
With the nearest neighbours (Å) after each atom.
Fractional positions:
Pr 0.5000 0.0000 0.5000  6 Sb 3.23
Pr 0.0000 0.5000 0.5000  6 Sb 3.20-3.21
Sm 0.0000 0.0000 0.0000  6 Sb 3.15-3.16
Np 0.5000 0.5000 0.0000  6 Sb 3.12-3.14
Sb 0.5000 0.2506 0.2421  1 Np 3.12, 2 Sm 3.16, 3 Pr 3.21-3.23
Sb 0.5000 0.7494 0.7579  1 Np 3.12, 2 Sm 3.16, 3 Pr 3.21-3.23
Sb 0.0000 0.2554 0.7591  2 Np 3.14, 1 Sm 3.15, 3 Pr 3.20-3.23
Sb 0.0000 0.7446 0.2409  2 Np 3.14, 1 Sm 3.15, 3 Pr 3.20-3.23

Calculated values
Fermi-level density of states ... 11.9 states/eV/cell
Crystal system ... monoclinic
E_form (uncorrected) ... -7.45 eV per formula unit
Space group ... P2/m, No. 10


# 3
Density functional theory data (PBE) for a geometry-optimized BaLaMgOs2 structure.

Lattice parameters (Å, degrees): 5.1233 5.5598 5.1233 90.00 90.00 90.00
With the nearest neighbours (Å) after each atom.
Fractional positions:
Mg 0.5000 0.5000 0.5000  4 La 3.62, 8 Os 3.78
Os 0.0000 0.0000 0.5000  2 Ba 2.56
Os 0.5000 0.0000 0.0000  2 Ba 2.56
Ba 0.0000 0.0000 0.0000  4 Os 2.56, 2 La 2.78
La 0.0000 0.5000 0.0000  2 Ba 2.78

Calculated values
Fermi-level density of states ... 5.4 states/eV/cell
Crystal system ... tetragonal
Space group ... P4/mmm, No. 123


# 4
Density functional theory data (PBE) for a geometry-optimized Cu3SbCl structure.

Lattice parameters (Å, degrees): 4.5512 4.5512 4.5512 90.00 90.00 90.00
With the nearest neighbours (Å) after each atom.
Fractional positions:
Sb 0.5000 0.5000 0.5000  12 Cu 3.22
Cu 0.0000 0.5000 0.0000  2 Cl 2.28
Cu 0.0000 0.0000 0.5000  2 Cl 2.28
Cu 0.5000 0.0000 0.0000  2 Cl 2.28
Cl 0.0000 0.0000 0.0000  6 Cu 2.28

Calculated values
Fermi-level density of states ... 2.5 states/eV/cell
Crystal system ... cubic
E_form (uncorrected) ... 2.91 eV per formula unit
Space group ... Pm-3m, No. 221
Polymorph energy (0 for the lowest one) ... 0.092 eV/atom


# 5
Density functional theory data (PBE) for a geometry-optimized UPdSe2 structure.

Lattice parameters (Å, degrees): 4.2296 4.2296 7.5320 73.69 73.69 60.00
With the nearest neighbours (Å) after each atom.
Fractional positions:
U 0.4832 0.4832 0.5505  6 Se 2.89-3.22, 3 Pd 2.90
Pd 0.7432 0.7432 0.7703  3 Se 2.50
Se 0.0514 0.0514 0.8457  3 Pd 2.50
Se 0.2222 0.2222 0.3334  3 U 2.89

Calculated values
Fermi-level density of states ... 8.8 states/eV/cell
Crystal system ... trigonal
E_form (uncorrected) ... -2.85 eV per formula unit
Space group ... R3m, No. 160
Polymorph energy (0 for the lowest one) ... 0.089 eV/atom


# 6
Density functional theory data (PBE) for a geometry-optimized RbTc3F structure.

Lattice parameters (Å, degrees): 4.5786 4.5786 4.5786 90.00 90.00 90.00
With the nearest neighbours (Å) after each atom.
Fractional positions:
Tc 0.0000 0.5000 0.0000  2 F 2.29
Tc 0.0000 0.0000 0.5000  2 F 2.29
Tc 0.5000 0.0000 0.0000  2 F 2.29
Rb 0.5000 0.5000 0.5000  12 Tc 3.24
F 0.0000 0.0000 0.0000  6 Tc 2.29

Calculated values
Fermi-level density of states ... 6.6 states/eV/cell
Crystal system ... cubic
E_form (uncorrected) ... 8.53 eV per formula unit
Space group ... Pm-3m, No. 221
Polymorph energy (0 for the lowest one) ... 0.000 eV/atom


# 7
Density functional theory data (PBE) for a geometry-optimized NpMnAl2 structure.

Lattice parameters (Å, degrees): 6.9660 4.2513 4.7844 76.12 90.00 90.00
With the nearest neighbours (Å) after each atom.
Fractional positions:
Np 0.2500 0.9653 0.1618  1 Mn 2.18
Np 0.7500 0.0347 0.8382  1 Mn 2.18
Mn 0.2500 0.1286 0.5601  1 Np 2.18
Mn 0.7500 0.8714 0.4399  1 Np 2.18
Al 0.0606 0.5925 0.7277  3 Mn 2.59-2.68, 3 Al 2.63-2.67
Al 0.4394 0.5925 0.7277  3 Mn 2.59-2.68, 3 Al 2.63-2.67
Al 0.9394 0.4075 0.2723  3 Mn 2.59-2.68, 3 Al 2.63-2.67
Al 0.5606 0.4075 0.2723  3 Mn 2.59-2.68, 3 Al 2.63-2.67

Calculated values
Fermi-level density of states ... 11.4 states/eV/cell
Crystal system ... monoclinic
Space group ... P2_1/m, No. 11


# 8
Density functional theory data (PBE) for a geometry-optimized HoErGaNi structure.

Lattice parameters (Å, degrees): 4.8979 4.8979 4.8979 60.00 60.00 60.00
With the nearest neighbours (Å) after each atom.
Fractional positions:
Ni 0.2500 0.2500 0.2500  4 Ho 3.00, 4 Er 3.00
Ho 0.0000 0.0000 0.0000  4 Ni 3.00, 4 Ga 3.00
Ga 0.7500 0.7500 0.7500  4 Er 3.00, 4 Ho 3.00
Er 0.5000 0.5000 0.5000  4 Ni 3.00, 4 Ga 3.00

Calculated values
Fermi-level density of states ... 3.6 states/eV/cell
Crystal system ... cubic
Space group ... F-43m, No. 216
Polymorph energy (0 for the lowest one) ... 0.044 eV/atom


# 9
Density functional theory data (PBE) for a geometry-optimized Sr2AlGe2 structure.

Lattice parameters (Å, degrees): 4.5631 6.3998 10.4229 78.74 77.40 69.18
With the nearest neighbours (Å) after each atom.
Fractional positions:
Sr 0.2836 0.7774 0.6547  5 Ge 3.26-3.43, 4 Al 3.40-3.49
Sr 0.1067 0.6966 0.0892  6 Ge 3.20-3.52, 2 Al 3.31
Sr 0.7164 0.2226 0.3453  5 Ge 3.26-3.43, 4 Al 3.40-3.49
Sr 0.8933 0.3034 0.9108  6 Ge 3.20-3.52, 2 Al 3.31
Al 0.4463 0.7959 0.3106  3 Ge 2.54-2.59
Al 0.5537 0.2041 0.6894  3 Ge 2.54-2.59
Ge 0.9526 0.6749 0.4178  1 Ge 2.50, 2 Al 2.59
Ge 0.3925 0.1043 0.1142  1 Al 2.54, 1 Ge 2.78
Ge 0.0474 0.3251 0.5822  1 Ge 2.50, 2 Al 2.59
Ge 0.6075 0.8957 0.8858  1 Al 2.54, 1 Ge 2.78

Calculated values
Fermi-level density of states ... 4.6 states/eV/cell
Crystal system ... triclinic
Space group ... P-1, No. 2


# 10
Density functional theory data (PBE) for a geometry-optimized Ho4TeIr structure.

Lattice parameters (Å, degrees): 3.9783 8.1367 19.3869 90.00 90.00 90.00
With the nearest neighbours (Å) after each atom.
Fractional positions:
Ho 0.7500 0.8564 0.6469  2 Ir 2.87
Ho 0.2500 0.1436 0.3531  2 Ir 2.87
Ho 0.2500 0.6436 0.1469  2 Ir 2.87
Ho 0.7500 0.3564 0.8531  2 Ir 2.87
Ho 0.7500 0.8612 0.4518  3 Ir 2.86-3.10
Ho 0.2500 0.1388 0.5482  3 Ir 2.86-3.10
Ho 0.2500 0.6388 0.9518  3 Ir 2.86-3.10
Ho 0.7500 0.3612 0.0482  3 Ir 2.86-3.10
Ho 0.7500 0.0033 0.9319  3 Ir 2.90-3.10, 1 Te 3.19
Ho 0.2500 0.9967 0.0681  3 Ir 2.90-3.10, 1 Te 3.19
Ho 0.2500 0.4967 0.4319  3 Ir 2.90-3.10, 1 Te 3.19
Ho 0.7500 0.5033 0.5681  3 Ir 2.90-3.10, 1 Te 3.19
Ho 0.7500 0.9615 0.2155  4 Te 3.17-3.19, 4 Ho 3.49-3.52
Ho 0.2500 0.0385 0.7845  4 Te 3.17-3.19, 4 Ho 3.49-3.52
Ho 0.2500 0.5385 0.7155  4 Te 3.17-3.19, 4 Ho 3.49-3.52
Ho 0.7500 0.4615 0.2845  4 Te 3.17-3.19, 4 Ho 3.49-3.52
Te 0.7500 0.7389 0.8106  9 Ho 3.17-3.48
Te 0.2500 0.2611 0.1894  9 Ho 3.17-3.48
Te 0.2500 0.7611 0.3106  9 Ho 3.17-3.48
Te 0.7500 0.2389 0.6894  9 Ho 3.17-3.48
Ir 0.7500 0.2418 0.4517  8 Ho 2.86-3.10
Ir 0.2500 0.7582 0.5483  8 Ho 2.86-3.10
Ir 0.2500 0.2582 0.9517  8 Ho 2.86-3.10
Ir 0.7500 0.7418 0.0483  8 Ho 2.86-3.10

Calculated values
Fermi-level density of states ... 19.5 states/eV/cell
Crystal system ... orthorhombic
E_form (uncorrected) ... -5.01 eV per formula unit
Space group ... Pnma, No. 62
Polymorph energy (0 for the lowest one) ... 0.000 eV/atom


# 11
Density functional theory data (PBE) for a geometry-optimized Ho5Ni2Sn structure.

Lattice parameters (Å, degrees): 7.6390 7.6390 8.5577 116.51 116.51 90.00
With the nearest neighbours (Å) after each atom.
Fractional positions:
Ho 0.5227 0.7048 0.7274  3 Ni 2.85-2.93
Ho 0.7952 0.9773 0.2726  3 Ni 2.85-2.93
Ho 0.0000 0.0000 0.0000  4 Ni 3.00, 2 Sn 3.32
Ho 0.5000 0.5000 0.0000  4 Ni 3.00, 2 Sn 3.32
Ho 0.2048 0.0227 0.7274  3 Ni 2.85-2.93
Ho 0.7048 0.2048 0.7274  3 Ni 2.85-2.93
Ho 0.0227 0.5227 0.7274  3 Ni 2.85-2.93
Ho 0.2952 0.7952 0.2726  3 Ni 2.85-2.93
Ho 0.9773 0.4773 0.2726  3 Ni 2.85-2.93
Ho 0.4773 0.2952 0.2726  3 Ni 2.85-2.93
Ni 0.1282 0.3718 0.0000  1 Ni 2.77, 8 Ho 2.85-3.00
Ni 0.6282 0.1282 0.0000  1 Ni 2.77, 8 Ho 2.85-3.00
Ni 0.3718 0.8718 0.0000  1 Ni 2.77, 8 Ho 2.85-3.00
Ni 0.8718 0.6282 0.0000  1 Ni 2.77, 8 Ho 2.85-3.00
Sn 0.7500 0.7500 0.5000  10 Ho 3.25-3.32
Sn 0.2500 0.2500 0.5000  10 Ho 3.25-3.32

Calculated values
Fermi-level density of states ... 17.1 states/eV/cell
Crystal system ... tetragonal
Space group ... I4/mcm, No. 140


Here are the calculated calculated total energy numbers, same order: -28.38; -51.16; -19.76; -15.35; -26.30; -25.41; -60.70; -19.82; -37.45; -141.31; -84.32 (eV for the cell shown).